# 1
This record from Alexandria via LeMat-Bulk describes crystalline NpPa2Ag at its relaxed geometry. The functional is PBE.

Lattice parameters (Å, degrees): 5.3184 5.3184 3.1590 90.00 90.00 90.00
With the nearest neighbours (Å) after each atom.
Space group P4/mmm (No. 123)
One atom of each set of equivalent atoms:
Np 0.0000 0.0000 0.0000 x1  8 Pa 3.09, 2 Np 3.16
Pa 0.0000 0.5000 0.5000 x2  4 Ag 3.09, 4 Np 3.09, 2 Pa 3.16
Ag 0.5000 0.5000 0.0000 x1  8 Pa 3.09, 2 Ag 3.16

Properties
* formation enthalpy at 0 K: 149 meV/atom
* DFT total energy: -34.19 eV per cell
* volume: 22.3 Å³/atom
* DOS(E_F): 8.038 states/eV per cell

# 2
This record from Alexandria via LeMat-Bulk describes crystalline PuI2F4 at its relaxed geometry. The functional is PBE.

Lattice parameters (Å, degrees): 3.8628 3.9949 10.7369 91.06 92.69 90.03
With the nearest neighbours (Å) after each atom.
Space group P-1 (No. 2)
One atom of each set of equivalent atoms:
Pu 0.0000 0.0000 0.0000 x1  8 F 2.30-2.36
I 0.0058 0.4962 0.6247 x2  1 I 2.68, 1 F 2.78
F 0.0095 0.5076 0.1163 x2  2 Pu 2.35-2.36, 1 F 2.50
F 0.4868 0.9912 0.8832 x2  2 Pu 2.30-2.31, 1 F 2.51

Properties
* DFT total energy: -41.57 eV per cell
* volume: 23.6 Å³/atom
* raw formation energy: -2.379 eV per atom
* DOS(E_F): 9.952 states/eV per cell

# 3
This record from Alexandria via LeMat-Bulk describes crystalline Li6InSn3 at its relaxed geometry. The functional is PBE.

Lattice parameters (Å, degrees): 10.1102 11.6813 7.1946 90.00 90.00 90.00
With the nearest neighbours (Å) after each atom.
Space group Cmc2_1 (No. 36)
One atom of each set of equivalent atoms:
Li 0.0000 0.0381 0.0000 x4  3 Li 2.87-2.89, 4 Sn 2.89-2.90, 2 In 3.11-3.13
Li 0.0000 0.2849 0.9643 x4  3 Sn 2.81-3.03, 1 In 2.83, 5 Li 2.84-2.90
Li 0.1963 0.4608 0.8940 x8  3 Li 2.81-2.90, 4 Sn 2.89-3.05
Li 0.2356 0.1688 0.0659 x8  3 Sn 2.73-2.83, 4 Li 2.81-2.89
In 0.0000 0.2080 0.3368 x4  5 Li 2.83-3.13, 3 Sn 3.00-3.11
Sn 0.0000 0.3974 0.6186 x4  7 Li 2.81-3.05, 1 In 3.00
Sn 0.1503 0.1344 0.6948 x8  7 Li 2.73-3.03, 1 Sn 3.04

Properties
* formation enthalpy at 0 K: -242 meV/atom
* DFT total energy: -114.61 eV per cell
* volume: 21.2 Å³/atom
* DOS(E_F): 10.791 states/eV per cell

# 4
This record from Alexandria via LeMat-Bulk describes crystalline ZnNiBr2 at its relaxed geometry. The functional is PBE.

Lattice parameters (Å, degrees): 3.6503 3.7081 7.0290 90.00 90.00 90.00
With the nearest neighbours (Å) after each atom.
Space group Pmmm (No. 47)
One atom of each set of equivalent atoms:
Zn 0.0000 0.0000 0.0000 x1  4 Br 2.60
Ni 0.5000 0.0000 0.5000 x1  4 Br 2.60
Br 0.0000 0.5000 0.5000 x1  4 Ni 2.60
Br 0.5000 0.5000 0.0000 x1  4 Zn 2.60

Properties
* DFT total energy: -9.77 eV per cell
* volume: 23.8 Å³/atom
* excess energy over the best structure of this formula in the dataset: 430 meV per atom
* raw formation energy: 0.157 eV per atom
* DOS(E_F): 5.344 states/eV per cell